(1)
Al2PPb | GGA-PBE | optimized geometry

Properties
**Offset from the most stable computed form**: 426 meV/atom
**Magnetic moment**: 0.000 μB/cell
**Crystal system**: tetragonal

Structure (extended XYZ):
```
4
Lattice="-2.0143 2.0143 5.1022 2.0143 -2.0143 5.1022 2.0143 2.0143 -5.1022" Properties=species:S:1:pos:R:3 pbc="T T T"
Al 0.0000 0.0000 0.0000
Al 0.0000 2.0143 2.5511
P 2.0143 0.0000 2.5511
Pb 0.0000 0.0000 5.1022
```

(2)
AlPPb3 | GGA-PBE | optimized geometry

Properties
**Offset from the most stable computed form**: 0 meV/atom
**Magnetic moment**: 0.000 μB/cell
**Crystal system**: cubic

Structure (extended XYZ):
```
5
Lattice="5.4460 0.0000 0.0000 0.0000 5.4460 0.0000 0.0000 0.0000 5.4460" Properties=species:S:1:pos:R:3 pbc="T T T"
Al 0.0000 0.0000 0.0000
P 2.7230 2.7230 2.7230
Pb 0.0000 2.7230 2.7230
Pb 2.7230 0.0000 2.7230
Pb 2.7230 2.7230 0.0000
```

(3)
AlPPb4 | GGA-PBE | optimized geometry

Properties
**Magnetic moment**: 0.000 μB/cell
**Crystal system**: cubic

Structure (extended XYZ):
```
6
Lattice="0.0000 4.5017 4.5017 4.5017 0.0000 4.5017 4.5017 4.5017 0.0000" Properties=species:S:1:pos:R:3 pbc="T T T"
Al 0.0000 0.0000 0.0000
P 6.7525 6.7525 6.7525
Pb 3.3754 3.3754 3.3754
Pb 5.6279 5.6279 3.3754
Pb 5.6279 3.3754 5.6279
Pb 3.3754 5.6279 5.6279
```

(4)
Al5P5Pb | GGA-PBE | optimized geometry

Properties
**Magnetic moment**: 0.000 μB/cell
**Crystal system**: hexagonal

Structure (extended XYZ):
```
11
Lattice="5.2607 0.0000 0.0000 -2.6303 4.5559 0.0000 0.0000 0.0000 9.4656" Properties=species:S:1:pos:R:3 pbc="T T T"
Al 0.0000 0.0000 2.3325
Al 0.0000 0.0000 7.1331
Al 0.0000 1.4894 4.7328
Al -1.3405 3.8112 4.7328
Al 1.3405 3.8112 4.7328
P 0.0000 0.0000 0.0000
P 0.0000 3.0372 2.8497
P 0.0000 3.0372 6.6159
P 2.6303 1.5186 3.5604
P 2.6303 1.5186 5.9053
Pb 2.6303 1.5186 0.0000
```

no.,formation energy from the elements (eV/atom)
1,0.3576
2,0.5790
3,0.6302
4,0.2677